Record 1
In2RuF: relaxed, PBE-GGA.

The distance to the lowest polymorph of the same formula is 0 meV/atom. As for the volume: 296.5 Å³ per cell. Its uncorrected formation energy is -0.383 eV per atom. The calculation puts the total magnetization at 0.0 μB/cell. Its total energy is -4.5394 eV per atom.

The structure belongs to space group I-42d (No. 122); the cell edges are 6.698, 6.698 and 6.610 Å and the angles 90.00°, 90.00° and 90.00°. The distinct sites, in fractional coordinates, are In at (0.216, 0.250, 0.125), Ru at (0.000, 0.000, 0.500) and F at (0.000, 0.000, 0.000).

Record 2
LaSn2CSe: relaxed, PBE-GGA.

As for the volume: 223.0 Å³ per cell. Its uncorrected formation energy is 1.597 eV per atom. The calculation puts the total magnetization at 1.6 μB/cell. Its total energy is -3.5310 eV per atom.

The structure belongs to space group P4/mmm (No. 123); the cell edges are 6.335, 6.335 and 5.557 Å and the angles 90.00°, 90.00° and 90.00°. The distinct sites, in fractional coordinates, are La at (0.000, 0.000, 0.000), Sn at (0.000, 0.500, 0.000), C at (0.500, 0.500, 0.500) and Se at (0.000, 0.000, 0.500).

Record 3
RbMnPb2: relaxed, PBE-GGA.

The distance to the lowest polymorph of the same formula is 0 meV/atom. As for the volume: 698.3 Å³ per cell. The calculation puts the total magnetization at 12.5 μB/cell. Its total energy is -4.0420 eV per atom.

The structure belongs to space group I4_1/amd (No. 141, origin choice 2); the cell edges are 6.364, 6.364 and 17.242 Å and the angles 90.00°, 90.00° and 90.00°. The distinct sites, in fractional coordinates, are Rb at (0.000, 0.250, 0.375), Mn at (0.000, 0.250, 0.875) and Pb at (0.000, 0.000, 0.000).